No. 1
Density functional theory data (PBE-GGA) for a relaxed YBiOs2 crystal.

Computed properties:
The calculation puts the total moment at 0.2 Bohr magnetons per cell. The total energy is -7.554 eV/atom.

a = 4.819 Å, b = 4.819 Å, c = 4.819 Å
α = 60.00°, β = 60.00°, γ = 60.00°
Fractional coordinates of all 4 atoms:
1 Bi 0.500 0.500 0.500
2 Os 0.000 0.000 0.000
3 Os 0.750 0.750 0.750
4 Y 0.250 0.250 0.250

No. 2
Density functional theory data (PBE-GGA) for a relaxed Y3Zr3Bi2Os crystal.

Computed properties:
The energy relative to the lowest polymorph listed for this composition comes out at 223 meV per atom. The calculation puts the total moment at 0.1 Bohr magnetons per cell.

a = 8.203 Å, b = 8.203 Å, c = 3.863 Å
α = 90.00°, β = 90.00°, γ = 120.00°
Fractional coordinates of all 9 atoms:
1 Zr 0.609 0.609 0.000
2 Bi 0.333 0.667 0.500
3 Y 0.247 0.247 0.500
4 Y 0.000 0.753 0.500
5 Bi 0.667 0.333 0.500
6 Zr 0.391 0.000 0.000
7 Os 0.000 0.000 0.000
8 Y 0.753 0.000 0.500
9 Zr 0.000 0.391 0.000

No. 3
Density functional theory data (PBE-GGA) for a relaxed Y3Zr3Bi2Os crystal.

Computed properties:
The energy relative to the lowest polymorph listed for this composition comes out at 0 meV per atom. The calculation puts the total moment at 0.1 Bohr magnetons per cell.

a = 8.129 Å, b = 8.129 Å, c = 4.032 Å
α = 90.00°, β = 90.00°, γ = 120.00°
Fractional coordinates of all 9 atoms:
1 Zr 0.230 0.230 0.500
2 Y 0.393 0.000 0.000
3 Y 0.000 0.393 0.000
4 Bi 0.667 0.333 0.500
5 Os 0.000 0.000 0.000
6 Zr 0.770 0.000 0.500
7 Y 0.607 0.607 0.000
8 Zr 0.000 0.770 0.500
9 Bi 0.333 0.667 0.500

No. 4
Density functional theory data (PBE-GGA) for a relaxed ZnBiOs2 crystal.

Computed properties:
The calculation puts the total moment at 0.1 Bohr magnetons per cell. The total energy is -6.059 eV/atom.

a = 4.604 Å, b = 4.604 Å, c = 4.604 Å
α = 60.00°, β = 60.00°, γ = 60.00°
Fractional coordinates of all 4 atoms:
1 Os 0.750 0.750 0.750
2 Zn 0.250 0.250 0.250
3 Os 0.000 0.000 0.000
4 Bi 0.500 0.500 0.500

No. 5
Density functional theory data (PBE-GGA) for a relaxed Zn2BiOs crystal.

Computed properties:
The calculation puts the total moment at 0.0 Bohr magnetons per cell. The total energy is -3.803 eV/atom.

a = 4.663 Å, b = 4.663 Å, c = 4.663 Å
α = 60.00°, β = 60.00°, γ = 60.00°
Fractional coordinates of all 4 atoms:
1 Bi 0.500 0.500 0.500
2 Zn 0.000 0.000 0.000
3 Zn 0.750 0.750 0.750
4 Os 0.250 0.250 0.250

No. 6
Density functional theory data (PBE-GGA) for a relaxed Zr2Bi2Os3 crystal.

Computed properties:
The calculation puts the total moment at 0.0 Bohr magnetons per cell. The total energy is -8.366 eV/atom.

a = 7.998 Å, b = 7.998 Å, c = 7.998 Å
α = 33.68°, β = 33.68°, γ = 33.68°
Fractional coordinates of all 7 atoms:
1 Os 0.626 0.626 0.626
2 Zr 0.246 0.246 0.246
3 Bi 0.006 0.006 0.006
4 Bi 0.496 0.496 0.496
5 Os 0.371 0.371 0.371
6 Os 0.878 0.878 0.878
7 Zr 0.753 0.753 0.753

No. 7
Density functional theory data (PBE-GGA) for a relaxed ZrBiOs2 crystal.

Computed properties:
The calculation puts the total moment at 0.0 Bohr magnetons per cell. The total energy is -8.142 eV/atom.

a = 4.717 Å, b = 4.717 Å, c = 4.717 Å
α = 60.00°, β = 60.00°, γ = 60.00°
Fractional coordinates of all 4 atoms:
1 Bi 0.500 0.500 0.500
2 Os 0.750 0.750 0.750
3 Zr 0.250 0.250 0.250
4 Os 0.000 0.000 0.000

No. 8
Density functional theory data (PBE-GGA) for a relaxed Bi3PPd crystal.

Computed properties:
The total energy is -3.877 eV/atom.

a = 5.359 Å, b = 5.359 Å, c = 5.359 Å
α = 90.00°, β = 90.00°, γ = 90.00°
Fractional coordinates of all 5 atoms:
1 Bi 0.500 0.500 0.000
2 Bi 0.500 0.000 0.500
3 P 0.500 0.500 0.500
4 Bi 0.000 0.500 0.500
5 Pd 0.000 0.000 0.000

No. 9
Density functional theory data (PBE-GGA) for a relaxed Pm2BiP crystal.

Computed properties:
The calculation puts the total moment at 0.0 Bohr magnetons per cell. The total energy is -5.854 eV/atom.

a = 4.367 Å, b = 4.367 Å, c = 6.185 Å
α = 90.00°, β = 90.00°, γ = 90.00°
Fractional coordinates of all 4 atoms:
1 Pm 0.000 0.000 0.500
2 P 0.500 0.500 0.500
3 Bi 0.000 0.000 0.000
4 Pm 0.500 0.500 0.000

No. 10
Density functional theory data (PBE-GGA) for a relaxed Pr3BiP2 crystal.

Computed properties:
The calculation puts the total moment at 0.0 Bohr magnetons per cell. The total energy is -6.179 eV/atom.

a = 4.277 Å, b = 4.277 Å, c = 10.943 Å
α = 90.00°, β = 90.00°, γ = 120.00°
Fractional coordinates of all 6 atoms:
1 Pr 0.000 0.000 0.000
2 Pr 0.667 0.333 0.697
3 Bi 0.000 0.000 0.500
4 Pr 0.333 0.667 0.303
5 P 0.667 0.333 0.156
6 P 0.333 0.667 0.844

No. 11
Density functional theory data (PBE-GGA) for a relaxed Pr2Sc2BiP crystal.

Computed properties:
The calculation puts the total moment at 0.0 Bohr magnetons per cell. The total energy is -6.109 eV/atom.

a = 8.738 Å, b = 8.738 Å, c = 8.738 Å
α = 150.97°, β = 150.97°, γ = 41.52°
Fractional coordinates of all 6 atoms:
1 Sc 0.013 0.513 0.500
2 Bi 0.876 0.876 0.000
3 P 0.119 0.119 0.000
4 Pr 0.310 0.310 0.000
5 Sc 0.513 0.013 0.500
6 Pr 0.669 0.669 0.000

No. 12
Density functional theory data (PBE-GGA) for a relaxed Zr3Bi2P2Pt4 crystal.

Computed properties:
The calculation puts the total moment at 0.0 Bohr magnetons per cell. The total energy is -6.936 eV/atom.

a = 7.844 Å, b = 7.844 Å, c = 7.844 Å
α = 133.32°, β = 133.32°, γ = 68.16°
Fractional coordinates of all 11 atoms:
1 Bi 0.000 0.500 0.500
2 Pt 0.096 0.096 0.471
3 Bi 0.500 0.000 0.500
4 Pt 0.625 0.625 0.529
5 Pt 0.904 0.375 0.000
6 P 0.253 0.253 0.000
7 P 0.747 0.747 0.000
8 Zr 0.750 0.250 0.500
9 Zr 0.000 0.000 0.000
10 Pt 0.375 0.904 0.000
11 Zr 0.250 0.750 0.500

Number 1: calculated volume 79.14 Å³/f.u.. Number 2: calculated volume 225.10 Å³/f.u.. Number 3: calculated volume 230.70 Å³/f.u.. Number 4: calculated volume 68.99 Å³/f.u.. Number 5: calculated volume 71.69 Å³/f.u.. Number 6: calculated volume 140.18 Å³/f.u.. Number 7: calculated volume 74.24 Å³/f.u.. Number 8: calculated volume 153.90 Å³/f.u.. Number 9: calculated volume 117.99 Å³/f.u.. Number 10: calculated volume 173.35 Å³/f.u.. Number 11: calculated volume 156.77 Å³/f.u.. Number 12: calculated volume 251.02 Å³/f.u..